# OsSe2Br GGA-PBE relaxed
# * E: -4.857 eV/atom
# * ΔE to the lowest computed polymorph: 77 meV/atom
data_OsSe2Br
_chemical_formula_sum 'Os1 Se2 Br1'
_space_group_name_H-M_alt 'P 1 2/m 1'
_space_group_IT_number 10
_space_group_name_Hall '-P 2y'
_cell_length_a 5.171
_cell_length_b 3.684
_cell_length_c 5.175
_cell_angle_alpha 90.00
_cell_angle_beta 118.47
_cell_angle_gamma 90.00
loop_
_atom_site_label
_atom_site_type_symbol
_atom_site_fract_x
_atom_site_fract_y
_atom_site_fract_z
Os1 Os 0.000 0.000 0.000
Se1 Se 0.364 0.500 0.175
Br1 Br 0.000 0.000 0.500

=====

# Os2SeBr GGA-PBE relaxed
# * E: -5.896 eV/atom
# * ΔE to the lowest computed polymorph: 616 meV/atom
data_Os2SeBr
_chemical_formula_sum 'Os4 Se2 Br2'
_space_group_name_H-M_alt 'C 1 2/m 1'
_space_group_IT_number 12
_space_group_name_Hall '-C 2y'
_cell_length_a 8.161
_cell_length_b 3.035
_cell_length_c 5.660
_cell_angle_alpha 90.00
_cell_angle_beta 102.03
_cell_angle_gamma 90.00
loop_
_atom_site_label
_atom_site_type_symbol
_atom_site_fract_x
_atom_site_fract_y
_atom_site_fract_z
Os1 Os 0.247 0.000 0.199
Se1 Se 0.000 0.500 0.000
Br1 Br 0.000 0.000 0.500

=====

# OsSe2Br GGA-PBE relaxed
# * E: -3.794 eV/atom
# * ΔE to the lowest computed polymorph: 1139 meV/atom
data_OsSe2Br
_chemical_formula_sum 'Os2 Se4 Br2'
_space_group_name_H-M_alt 'C m m m'
_space_group_IT_number 65
_space_group_name_Hall '-C 2 2'
_cell_length_a 5.375
_cell_length_b 8.718
_cell_length_c 3.206
_cell_angle_alpha 90.00
_cell_angle_beta 90.00
_cell_angle_gamma 90.00
loop_
_atom_site_label
_atom_site_type_symbol
_atom_site_fract_x
_atom_site_fract_y
_atom_site_fract_z
Os1 Os 0.000 0.000 0.000
Se1 Se 0.250 0.250 0.500
Br1 Br 0.000 0.500 0.000

=====

# OsSeBr GGA-PBE relaxed
# * E: -5.100 eV/atom
data_OsSeBr
_chemical_formula_sum 'Os2 Se2 Br2'
_space_group_name_H-M_alt 'I 4 m m'
_space_group_IT_number 107
_space_group_name_Hall 'I 4 -2'
_cell_length_a 3.109
_cell_length_b 3.109
_cell_length_c 14.953
_cell_angle_alpha 90.00
_cell_angle_beta 90.00
_cell_angle_gamma 90.00
loop_
_atom_site_label
_atom_site_type_symbol
_atom_site_fract_x
_atom_site_fract_y
_atom_site_fract_z
Os1 Os 0.000 0.000 0.000
Se1 Se 0.000 0.000 0.419
Br1 Br 0.000 0.000 0.165

=====

# OsSe3Br GGA-PBE relaxed
# * E: -4.669 eV/atom
# * ΔE to the lowest computed polymorph: 0 meV/atom
data_OsSe3Br
_chemical_formula_sum 'Os2 Se6 Br2'
_space_group_name_H-M_alt 'P -1'
_space_group_IT_number 2
_space_group_name_Hall '-P 1'
_cell_length_a 3.988
_cell_length_b 8.496
_cell_length_c 8.715
_cell_angle_alpha 106.01
_cell_angle_beta 94.30
_cell_angle_gamma 94.03
loop_
_atom_site_label
_atom_site_type_symbol
_atom_site_fract_x
_atom_site_fract_y
_atom_site_fract_z
Os1 Os 0.108 0.481 0.341
Se1 Se 0.134 0.769 0.834
Se2 Se 0.194 0.579 0.111
Se3 Se 0.317 0.350 0.549
Br1 Br 0.248 0.979 0.700

=====

# OsSeBr2 GGA-PBE relaxed
# * E: -3.259 eV/atom
# * ΔE to the lowest computed polymorph: 1185 meV/atom
data_OsSeBr2
_chemical_formula_sum 'Os1 Se1 Br2'
_space_group_name_H-M_alt 'P m m m'
_space_group_IT_number 47
_space_group_name_Hall '-P 2 2'
_cell_length_a 3.104
_cell_length_b 4.520
_cell_length_c 5.944
_cell_angle_alpha 90.00
_cell_angle_beta 90.00
_cell_angle_gamma 90.00
loop_
_atom_site_label
_atom_site_type_symbol
_atom_site_fract_x
_atom_site_fract_y
_atom_site_fract_z
Os1 Os 0.000 0.000 0.000
Se1 Se 0.500 0.000 0.500
Br1 Br 0.000 0.500 0.500
Br2 Br 0.500 0.500 0.000

=====

# OsSeBr GGA-PBE relaxed
# * E: -3.811 eV/atom
data_OsSeBr
_chemical_formula_sum 'Os4 Se4 Br4'
_space_group_name_H-M_alt 'F -4 3 m'
_space_group_IT_number 216
_space_group_name_Hall 'F -4 2 3'
_cell_length_a 6.361
_cell_length_b 6.361
_cell_length_c 6.361
_cell_angle_alpha 90.00
_cell_angle_beta 90.00
_cell_angle_gamma 90.00
loop_
_atom_site_label
_atom_site_type_symbol
_atom_site_fract_x
_atom_site_fract_y
_atom_site_fract_z
Os1 Os 0.000 0.000 0.000
Se1 Se 0.250 0.250 0.250
Br1 Br 0.000 0.000 0.500

=====

# OsSe2Br GGA-PBE relaxed
# * E: -3.839 eV/atom
# * ΔE to the lowest computed polymorph: 1095 meV/atom
data_OsSe2Br
_chemical_formula_sum 'Os1 Se2 Br1'
_space_group_name_H-M_alt 'P 4/m m m'
_space_group_IT_number 123
_space_group_name_Hall '-P 4 2'
_cell_length_a 4.881
_cell_length_b 4.881
_cell_length_c 3.061
_cell_angle_alpha 90.00
_cell_angle_beta 90.00
_cell_angle_gamma 90.00
loop_
_atom_site_label
_atom_site_type_symbol
_atom_site_fract_x
_atom_site_fract_y
_atom_site_fract_z
Os1 Os 0.000 0.000 0.000
Se1 Se 0.000 0.500 0.500
Br1 Br 0.500 0.500 0.000

=====

# Os2SeBr GGA-PBE relaxed
# * E: -5.725 eV/atom
# * ΔE to the lowest computed polymorph: 787 meV/atom
data_Os2SeBr
_chemical_formula_sum 'Os2 Se1 Br1'
_space_group_name_H-M_alt 'P 1 2/m 1'
_space_group_IT_number 10
_space_group_name_Hall '-P 2y'
_cell_length_a 3.014
_cell_length_b 4.041
_cell_length_c 6.346
_cell_angle_alpha 90.00
_cell_angle_beta 100.65
_cell_angle_gamma 90.00
loop_
_atom_site_label
_atom_site_type_symbol
_atom_site_fract_x
_atom_site_fract_y
_atom_site_fract_z
Os1 Os 0.181 0.000 0.321
Se1 Se 0.500 0.500 0.500
Br1 Br 0.000 0.500 0.000

=====

# OsSe2Br GGA-PBE relaxed
# * E: -3.759 eV/atom
# * ΔE to the lowest computed polymorph: 1175 meV/atom
data_OsSe2Br
_chemical_formula_sum 'Os1 Se2 Br1'
_space_group_name_H-M_alt 'P m m m'
_space_group_IT_number 47
_space_group_name_Hall '-P 2 2'
_cell_length_a 3.176
_cell_length_b 4.523
_cell_length_c 5.150
_cell_angle_alpha 90.00
_cell_angle_beta 90.00
_cell_angle_gamma 90.00
loop_
_atom_site_label
_atom_site_type_symbol
_atom_site_fract_x
_atom_site_fract_y
_atom_site_fract_z
Os1 Os 0.000 0.000 0.000
Se1 Se 0.000 0.500 0.500
Se2 Se 0.500 0.000 0.500
Br1 Br 0.500 0.500 0.000

=====

# OsSe2Br12 GGA-PBE relaxed
# * E: -2.674 eV/atom
data_OsSe2Br12
_chemical_formula_sum 'Os2 Se4 Br24'
_space_group_name_H-M_alt 'C 1 2/m 1'
_space_group_IT_number 12
_space_group_name_Hall '-C 2y'
_cell_length_a 14.653
_cell_length_b 11.937
_cell_length_c 7.067
_cell_angle_alpha 90.00
_cell_angle_beta 112.22
_cell_angle_gamma 90.00
loop_
_atom_site_label
_atom_site_type_symbol
_atom_site_fract_x
_atom_site_fract_y
_atom_site_fract_z
Os1 Os 0.000 0.000 0.000
Se1 Se 0.229 0.500 0.740
Br1 Br 0.102 0.145 0.241
Br2 Br 0.124 0.000 0.836
Br3 Br 0.138 0.347 0.802
Br4 Br 0.160 0.500 0.371

=====

# OsSeBr2 GGA-PBE relaxed
# * E: -3.734 eV/atom
# * ΔE to the lowest computed polymorph: 710 meV/atom
data_OsSeBr2
_chemical_formula_sum 'Os2 Se2 Br4'
_space_group_name_H-M_alt 'C m m m'
_space_group_IT_number 65
_space_group_name_Hall '-C 2 2'
_cell_length_a 3.020
_cell_length_b 5.717
_cell_length_c 10.720
_cell_angle_alpha 90.00
_cell_angle_beta 90.00
_cell_angle_gamma 90.00
loop_
_atom_site_label
_atom_site_type_symbol
_atom_site_fract_x
_atom_site_fract_y
_atom_site_fract_z
Os1 Os 0.000 0.000 0.000
Se1 Se 0.000 0.000 0.500
Br1 Br 0.000 0.500 0.187

=====

# OsSe2Br GGA-PBE relaxed
# * E: -3.676 eV/atom
# * ΔE to the lowest computed polymorph: 1258 meV/atom
data_OsSe2Br
_chemical_formula_sum 'Os1 Se2 Br1'
_space_group_name_H-M_alt 'P 4/m m m'
_space_group_IT_number 123
_space_group_name_Hall '-P 4 2'
_cell_length_a 3.916
_cell_length_b 3.916
_cell_length_c 4.958
_cell_angle_alpha 90.00
_cell_angle_beta 90.00
_cell_angle_gamma 90.00
loop_
_atom_site_label
_atom_site_type_symbol
_atom_site_fract_x
_atom_site_fract_y
_atom_site_fract_z
Os1 Os 0.000 0.000 0.000
Se1 Se 0.000 0.500 0.500
Br1 Br 0.500 0.500 0.000

=====

# OsSe2Br GGA-PBE relaxed
# * E: -4.042 eV/atom
# * ΔE to the lowest computed polymorph: 891 meV/atom
data_OsSe2Br
_chemical_formula_sum 'Os2 Se4 Br2'
_space_group_name_H-M_alt 'I 4/m m m'
_space_group_IT_number 139
_space_group_name_Hall '-I 4 2'
_cell_length_a 5.304
_cell_length_b 5.304
_cell_length_c 5.563
_cell_angle_alpha 90.00
_cell_angle_beta 90.00
_cell_angle_gamma 90.00
loop_
_atom_site_label
_atom_site_type_symbol
_atom_site_fract_x
_atom_site_fract_y
_atom_site_fract_z
Os1 Os 0.000 0.000 0.000
Se1 Se 0.000 0.500 0.000
Br1 Br 0.000 0.000 0.500

=====

# OsSeBr2 GGA-PBE relaxed
# * E: -3.805 eV/atom
# * ΔE to the lowest computed polymorph: 639 meV/atom
data_OsSeBr2
_chemical_formula_sum 'Os2 Se2 Br4'
_space_group_name_H-M_alt 'C 1 2/m 1'
_space_group_IT_number 12
_space_group_name_Hall '-C 2y'
_cell_length_a 6.291
_cell_length_b 3.665
_cell_length_c 9.018
_cell_angle_alpha 90.00
_cell_angle_beta 103.46
_cell_angle_gamma 90.00
loop_
_atom_site_label
_atom_site_type_symbol
_atom_site_fract_x
_atom_site_fract_y
_atom_site_fract_z
Os1 Os 0.000 0.000 0.000
Se1 Se 0.000 0.500 0.500
Br1 Br 0.218 0.500 0.157

=====

# Os2SeBr GGA-PBE relaxed
# * E: -5.868 eV/atom
# * ΔE to the lowest computed polymorph: 644 meV/atom
data_Os2SeBr
_chemical_formula_sum 'Os6 Se3 Br3'
_space_group_name_H-M_alt 'R -3 m'
_space_group_IT_number 166
_space_group_name_Hall '-R 3 2"'
_cell_length_a 3.0538
_cell_length_b 3.0538
_cell_length_c 24.2400
_cell_angle_alpha 90.00
_cell_angle_beta 90.00
_cell_angle_gamma 120.00
loop_
_atom_site_label
_atom_site_type_symbol
_atom_site_fract_x
_atom_site_fract_y
_atom_site_fract_z
Os1 Os 0.0000 0.0000 0.2438
Se1 Se 0.0000 0.0000 0.5000
Br1 Br 0.0000 0.0000 0.0000

=====

# OsSe2Br GGA-PBE relaxed
# * E: -4.934 eV/atom
# * ΔE to the lowest computed polymorph: 0 meV/atom
data_OsSe2Br
_chemical_formula_sum 'Os3 Se6 Br3'
_space_group_name_H-M_alt 'R -3 m'
_space_group_IT_number 166
_space_group_name_Hall '-R 3 2"'
_cell_length_a 3.8301
_cell_length_b 3.8301
_cell_length_c 22.9739
_cell_angle_alpha 90.00
_cell_angle_beta 90.00
_cell_angle_gamma 120.00
loop_
_atom_site_label
_atom_site_type_symbol
_atom_site_fract_x
_atom_site_fract_y
_atom_site_fract_z
Os1 Os 0.0000 0.0000 0.0000
Se1 Se 0.0000 0.0000 0.3851
Br1 Br 0.0000 0.0000 0.5000

=====

# SiOsSeBr2 GGA-PBE relaxed
# * E: -3.865 eV/atom
# * ΔE to the lowest computed polymorph: 0 meV/atom
data_SiOsSeBr2
_chemical_formula_sum 'Si1 Os1 Se1 Br2'
_space_group_name_H-M_alt 'P 4/m m m'
_space_group_IT_number 123
_space_group_name_Hall '-P 4 2'
_cell_length_a 5.163
_cell_length_b 5.163
_cell_length_c 4.707
_cell_angle_alpha 90.00
_cell_angle_beta 90.00
_cell_angle_gamma 90.00
loop_
_atom_site_label
_atom_site_type_symbol
_atom_site_fract_x
_atom_site_fract_y
_atom_site_fract_z
Si1 Si 0.000 0.000 0.000
Os1 Os 0.500 0.500 0.500
Se1 Se 0.500 0.500 0.000
Br1 Br 0.000 0.500 0.500

=====

# SiOsSe2Br GGA-PBE relaxed
# * E: -3.767 eV/atom
# * ΔE to the lowest computed polymorph: 462 meV/atom
data_SiOsSe2Br
_chemical_formula_sum 'Si1 Os1 Se2 Br1'
_space_group_name_H-M_alt 'P 4/m m m'
_space_group_IT_number 123
_space_group_name_Hall '-P 4 2'
_cell_length_a 4.859
_cell_length_b 4.859
_cell_length_c 4.872
_cell_angle_alpha 90.00
_cell_angle_beta 90.00
_cell_angle_gamma 90.00
loop_
_atom_site_label
_atom_site_type_symbol
_atom_site_fract_x
_atom_site_fract_y
_atom_site_fract_z
Si1 Si 0.000 0.000 0.000
Os1 Os 0.500 0.500 0.500
Se1 Se 0.000 0.500 0.000
Br1 Br 0.000 0.000 0.500

=====

# SiOsSeBr2 GGA-PBE relaxed
# * E: -3.410 eV/atom
# * ΔE to the lowest computed polymorph: 455 meV/atom
data_SiOsSeBr2
_chemical_formula_sum 'Si1 Os1 Se1 Br2'
_space_group_name_H-M_alt 'P 4/m m m'
_space_group_IT_number 123
_space_group_name_Hall '-P 4 2'
_cell_length_a 4.988
_cell_length_b 4.988
_cell_length_c 5.025
_cell_angle_alpha 90.00
_cell_angle_beta 90.00
_cell_angle_gamma 90.00
loop_
_atom_site_label
_atom_site_type_symbol
_atom_site_fract_x
_atom_site_fract_y
_atom_site_fract_z
Si1 Si 0.000 0.000 0.000
Os1 Os 0.500 0.500 0.500
Se1 Se 0.000 0.000 0.500
Br1 Br 0.000 0.500 0.000

=====

no.,E_form (uncorrected) (eV per atom)
1,0.11
2,1.01
3,1.17
4,0.36
5,0.00
6,1.26
7,1.65
8,1.13
9,1.18
10,1.21
11,-0.12
12,0.78
13,1.29
14,0.93
15,0.71
16,1.04
17,0.03
18,0.83
19,1.29
20,1.29